1.
Mo3As GGA-PBE relaxed; offset from the most stable computed form = 11.0 kJ/mol of atoms; energy = -36.72 eV per cell; spin magnetization = 0.00 μB per formula unit; energy of formation from the pure elements = 107 meV per atom
1.0
-0.173 3.197 0.045
-3.121 -0.159 -0.696
-1.323 -0.156 5.962
Mo As
3 1
direct
0.500 0.500 0.245
0.000 0.000 0.500
0.500 0.500 0.755
0.000 0.000 0.000


2.
Mo5As GGA-PBE relaxed; offset from the most stable computed form = 0.0 kJ/mol of atoms; energy = -58.76 eV per cell; spin magnetization = 0.00 μB per formula unit; energy of formation from the pure elements = 8 meV per atom
1.0
1.602 4.944 0.004
-1.602 4.944 0.004
0.000 2.021 5.915
Mo As
5 1
direct
0.000 0.000 0.500
0.331 0.331 0.835
0.334 0.334 0.334
0.669 0.669 0.165
0.666 0.666 0.666
0.000 0.000 0.000


3.
MoAs3 GGA-PBE relaxed; offset from the most stable computed form = 53.5 kJ/mol of atoms; energy = -90.57 eV per cell; spin magnetization = 1.46 μB per formula unit; energy of formation from the pure elements = 534 meV per atom
1.0
5.805 0.000 0.000
-2.903 5.027 0.000
0.000 0.000 9.853
As Mo
12 4
direct
0.153 0.306 0.750
0.847 0.153 0.250
0.694 0.847 0.750
0.306 0.153 0.250
0.500 0.500 0.500
0.000 0.500 0.500
0.500 0.000 0.500
0.500 0.500 0.000
0.847 0.694 0.250
0.500 0.000 0.000
0.153 0.847 0.750
0.000 0.500 0.000
0.000 0.000 0.000
0.667 0.333 0.750
0.333 0.667 0.250
0.000 0.000 0.500